[1]
Here is a geometry-optimized CuReAu2 structure from the Alexandria database. Energies are from GGA-PBEsol.

Lattice parameters (Å, degrees): 2.6815 4.7509 4.9816 97.81 90.00 106.39
Element x y z (fractional)
Au (0.7513, 0.5025, 0.7489)
Au (0.2487, 0.4975, 0.2511)
Cu (0.0000, 0.0000, 0.5000)
Re (0.5000, 0.0000, 0.0000)

ΔH_f (0 K) = 43.5 kJ/mol of atoms
total energy = -23.71 eV/cell
Fermi-level density of states = 0.821 states/eV per atom
symmetry = C2/m (12)
density = 17734 kg/m³

***

[2]
Here is a geometry-optimized CuReAu structure from the Alexandria database. Energies are from GGA-PBEsol.

Lattice parameters (Å, degrees): 4.0692 4.0692 4.0692 60.00 60.00 60.00
Each line ends with the local moment (μB).
Element x y z (fractional)
Au (0.5000, 0.5000, 0.5000)  0.02
Cu (0.2500, 0.2500, 0.2500)  0.13
Re (0.0000, 0.0000, 0.0000)  0.89

ΔH_f (0 K) = 99.9 kJ/mol of atoms
total energy = -18.48 eV/cell
Fermi-level density of states = 1.472 states/eV per atom
symmetry = F-43m (216)
density = 15569 kg/m³

***

[3]
Here is a geometry-optimized CuReAu3 structure from the Alexandria database. Energies are from GGA-PBEsol.

Lattice parameters (Å, degrees): 4.9255 4.9255 4.9255 90.00 90.00 90.00
Element x y z (fractional)
Re (0.0000, 0.0000, 0.0000)
Au (0.0000, 0.5000, 0.0000)
Au (0.0000, 0.0000, 0.5000)
Au (0.5000, 0.0000, 0.0000)
Cu (0.5000, 0.5000, 0.5000)

ΔH_f (0 K) = 161.1 kJ/mol of atoms
total energy = -21.09 eV/cell
Fermi-level density of states = 0.722 states/eV per atom
symmetry = Pm-3m (221)
density = 11682 kg/m³

***

- Which formula does entry 1 have?
  CuReAu2

***

- Among the records above, which one has the highest total energy?
  CuReAu